A plane-wave DFT calculation with PBE-GGA was carried out for a relaxed Y6Ho3Tm2 crystal.

E_tot (eV per atom): -5.560
Energy of formation (eV/atom): 0.027

abc: 31.8319 31.8319 31.8319
angles: 6.39 6.39 6.39
Atoms (fractional coordinates):
Y (0.0910, 0.0910, 0.0910)
Y (0.1821, 0.1821, 0.1821)
Y (0.3637, 0.3637, 0.3637)
Y (0.6363, 0.6363, 0.6363)
Y (0.8179, 0.8179, 0.8179)
Y (0.9090, 0.9090, 0.9090)
Ho (0.0000, 0.0000, 0.0000)
Ho (0.2727, 0.2727, 0.2727)
Ho (0.7273, 0.7273, 0.7273)
Tm (0.4545, 0.4545, 0.4545)
Tm (0.5455, 0.5455, 0.5455)